1.
Below is a crystal of ScPb7 relaxed with PBEsol, with properties calculated at the meta-GGA SCAN level.

Cell: 6.8171 6.8171 6.8171 Å, 60.00 60.00 60.00°
Atoms (fractional coordinates):
Pb  0.0000  0.0000  0.5000
Pb  0.0000  0.5000  0.0000
Pb  0.5000  0.0000  0.0000
Pb  0.5000  0.5000  0.0000
Pb  0.5000  0.0000  0.5000
Pb  0.0000  0.5000  0.5000
Pb  0.5000  0.5000  0.5000
Sc  0.0000  0.0000  0.0000

**Energy relative to the elements**: -0.70 eV/f.u.
**Total magnetization**: 0.000 μB per cell

***

2.
Below is a crystal of CuPbAu relaxed with PBEsol, with properties calculated at the meta-GGA SCAN level.

Cell: 4.4854 4.4854 4.4854 Å, 60.00 60.00 60.00°
Atoms (fractional coordinates):
Au  0.2500  0.2500  0.2500
Cu  0.0000  0.0000  0.0000
Pb  0.5000  0.5000  0.5000

**Energy relative to the elements**: 0.43 eV/f.u.
**Total magnetization**: 0.000 μB per cell